# 1
Compound: YSbRuN2
Source: Alexandria
Functional: PBE-GGA
Structure: optimized geometry

Output
As for the density of states at the Fermi level: 0.56 states/eV per atom. The energy comes out at -34.3 eV for the cell shown.

POSCAR file:
```
YSbRuN2
1.0
-1.571 -2.804 2.413
4.994 -2.338 0.535
0.748 2.327 3.191
N Y Sb Ru
2 1 1 1
Direct
0.500 0.000 0.000
0.000 0.000 0.500
0.500 0.500 0.500
0.000 0.500 0.000
0.000 0.000 0.000
```



# 2
Compound: Sc2RuN
Source: Alexandria
Functional: PBE-GGA
Structure: optimized geometry

Output
As for the density of states at the Fermi level: 0.55 states/eV per atom. The energy comes out at -29.9 eV for the cell shown.

POSCAR file:
```
Sc2RuN
1.0
1.982 0.000 7.552
-0.991 1.716 7.552
-0.991 -1.716 7.552
Sc N Ru
2 1 1
Direct
0.085 0.085 0.085
0.915 0.915 0.915
0.000 0.000 0.000
0.500 0.500 0.500
```



# 3
Compound: Sc2RuN
Source: Alexandria
Functional: PBE-GGA
Structure: optimized geometry

Output
As for the density of states at the Fermi level: 1.02 states/eV per atom. The energy comes out at -64.3 eV for the cell shown.

POSCAR file:
```
Sc2RuN
1.0
-3.453 3.777 3.370
-5.023 -3.063 -1.713
-3.870 -1.825 3.651
Ru Sc N
2 4 2
Direct
0.000 0.000 0.000
0.750 0.250 0.500
0.551 0.125 0.250
0.875 0.801 0.750
0.375 0.449 0.750
0.199 0.625 0.250
0.500 0.500 0.000
0.250 0.750 0.500
```



# 4
Compound: ScRu2N
Source: Alexandria
Functional: PBE-GGA
Structure: optimized geometry

Output
As for the density of states at the Fermi level: 0.63 states/eV per atom. The energy comes out at -68.4 eV for the cell shown.

POSCAR file:
```
ScRu2N
1.0
-4.985 -4.379 1.747
3.527 -1.777 5.611
-1.842 -1.309 4.938
Ru Sc N
4 2 2
Direct
0.488 0.125 0.250
0.375 0.512 0.750
0.875 0.738 0.750
0.262 0.625 0.250
0.000 0.000 0.000
0.750 0.250 0.500
0.500 0.500 0.000
0.250 0.750 0.500
```



# 5
Compound: Sc2RuN
Source: Alexandria
Functional: PBE-GGA
Structure: optimized geometry

Output
As for the density of states at the Fermi level: 0.28 states/eV per atom. The energy comes out at -33.1 eV for the cell shown.

POSCAR file:
```
Sc2RuN
1.0
1.798 0.000 7.340
-0.899 1.557 7.340
-0.899 -1.557 7.340
Sc N Ru
2 1 1
Direct
0.109 0.109 0.109
0.891 0.891 0.891
0.500 0.500 0.500
0.000 0.000 0.000
```



# 6
Compound: ScRuSe2N
Source: Alexandria
Functional: PBE-GGA
Structure: optimized geometry

Output
As for the density of states at the Fermi level: 1.24 states/eV per atom. The energy comes out at -27.6 eV for the cell shown. The calculation puts the energy above the most stable polymorph in this dataset at 886 meV per atom.

POSCAR file:
```
ScRuSe2N
1.0
5.169 0.000 0.000
0.000 5.169 0.000
0.000 0.000 3.960
Se Ru N Sc
2 1 1 1
Direct
0.000 0.500 0.000
0.500 0.000 0.000
0.500 0.500 0.500
0.000 0.000 0.500
0.000 0.000 0.000
```



# 7
Compound: ScRuSeN2
Source: Alexandria
Functional: PBE-GGA
Structure: optimized geometry

Output
As for the density of states at the Fermi level: 0.80 states/eV per atom. The energy comes out at -35.0 eV for the cell shown. The calculation puts the energy above the most stable polymorph in this dataset at 0 meV per atom.

POSCAR file:
```
ScRuSeN2
1.0
3.848 0.000 0.000
0.000 3.848 0.000
0.000 0.000 5.171
Se Ru N Sc
1 1 2 1
Direct
0.000 0.000 0.500
0.000 0.000 0.000
0.000 0.500 0.000
0.500 0.000 0.000
0.500 0.500 0.500
```



# 8
Compound: ScRuSeN2
Source: Alexandria
Functional: PBE-GGA
Structure: optimized geometry

Output
As for the density of states at the Fermi level: 1.26 states/eV per atom. The energy comes out at -30.3 eV for the cell shown. The calculation puts the energy above the most stable polymorph in this dataset at 945 meV per atom.

POSCAR file:
```
ScRuSeN2
1.0
4.007 0.000 0.000
0.000 4.007 0.000
0.000 0.000 5.502
Se Sc N Ru
1 1 2 1
Direct
0.000 0.000 0.500
0.000 0.000 0.000
0.000 0.500 0.000
0.500 0.000 0.000
0.500 0.500 0.500
```



# 9
Compound: ScRuSe2N
Source: Alexandria
Functional: PBE-GGA
Structure: optimized geometry

Output
As for the density of states at the Fermi level: 0.90 states/eV per atom. The energy comes out at -32.0 eV for the cell shown. The calculation puts the energy above the most stable polymorph in this dataset at 0 meV per atom.

POSCAR file:
```
ScRuSe2N
1.0
5.059 0.000 0.000
0.000 5.059 0.000
0.000 0.000 3.673
Ru Se Sc N
1 2 1 1
Direct
0.000 0.000 0.000
0.000 0.500 0.000
0.500 0.000 0.000
0.500 0.500 0.500
0.000 0.000 0.500
```



# 10
Compound: Y2ScRuN
Source: Alexandria
Functional: PBE-GGA
Structure: optimized geometry

Output
As for the density of states at the Fermi level: 0.81 states/eV per atom. The energy comes out at -40.5 eV for the cell shown.

POSCAR file:
```
Y2ScRuN
1.0
-0.265 1.300 4.593
4.513 -1.431 0.665
1.380 3.881 -1.018
Y Ru N Sc
2 1 1 1
Direct
0.000 0.500 0.000
0.500 0.000 0.000
0.500 0.500 0.500
0.000 0.000 0.000
0.000 0.000 0.500
```



# 11
Compound: ZrSc2RuN
Source: Alexandria
Functional: PBE-GGA
Structure: optimized geometry

Output
As for the density of states at the Fermi level: 0.75 states/eV per atom. The energy comes out at -43.1 eV for the cell shown.

POSCAR file:
```
ZrSc2RuN
1.0
-2.136 -3.650 -0.506
3.064 -1.434 -2.588
2.214 -1.797 3.616
N Zr Sc Ru
1 1 2 1
Direct
0.000 0.000 0.000
0.000 0.000 0.500
0.000 0.500 0.000
0.500 0.000 0.000
0.500 0.500 0.500
```



# 12
Compound: RuSe2N
Source: Alexandria
Functional: PBE-GGA
Structure: optimized geometry

Output
As for the density of states at the Fermi level: 0.78 states/eV per atom. The energy comes out at -42.5 eV for the cell shown.

POSCAR file:
```
RuSe2N
1.0
5.302 0.000 0.000
0.000 5.302 0.000
2.651 2.651 5.218
N Ru Se
2 2 4
Direct
0.500 0.500 0.000
0.250 0.750 0.500
0.000 0.000 0.000
0.750 0.250 0.500
0.154 0.625 0.250
0.375 0.404 0.750
0.875 0.846 0.750
0.596 0.125 0.250
```



# 13
Compound: RuSeN3
Source: Alexandria
Functional: PBE-GGA
Structure: optimized geometry

Output
As for the density of states at the Fermi level: 0.59 states/eV per atom. The energy comes out at -26.8 eV for the cell shown.

POSCAR file:
```
RuSeN3
1.0
3.715 0.000 0.000
0.000 3.715 0.000
0.000 0.000 3.715
N Se Ru
3 1 1
Direct
0.000 0.500 0.000
0.000 0.000 0.500
0.500 0.000 0.000
0.000 0.000 0.000
0.500 0.500 0.500
```



# 14
Compound: RuSe3N
Source: Alexandria
Functional: PBE-GGA
Structure: optimized geometry

Output
As for the density of states at the Fermi level: 1.81 states/eV per atom. The energy comes out at -19.9 eV for the cell shown. The calculation puts the energy above the most stable polymorph in this dataset at 502 meV per atom.

POSCAR file:
```
RuSe3N
1.0
4.797 0.000 0.000
0.000 4.797 0.000
0.000 0.000 4.797
Se N Ru
3 1 1
Direct
0.000 0.500 0.000
0.500 0.000 0.000
0.000 0.000 0.500
0.500 0.500 0.500
0.000 0.000 0.000
```



# 15
Compound: RuSeN
Source: Alexandria
Functional: PBE-GGA
Structure: optimized geometry

Output
As for the density of states at the Fermi level: 0.60 states/eV per atom. The energy comes out at -19.9 eV for the cell shown. The calculation puts the energy above the most stable polymorph in this dataset at 173 meV per atom.

POSCAR file:
```
RuSeN
1.0
-2.264 -1.516 0.623
3.042 -4.254 0.699
0.519 0.843 2.871
Se Ru N
1 1 1
Direct
0.663 0.500 0.950
0.642 0.000 0.955
0.212 0.000 0.415
```



# 16
Compound: RuSeN3
Source: Alexandria
Functional: PBE-GGA
Structure: optimized geometry

Output
As for the density of states at the Fermi level: 1.00 states/eV per atom. The energy comes out at -29.9 eV for the cell shown.

POSCAR file:
```
RuSeN3
1.0
-2.862 -0.501 -2.585
-1.621 -2.673 2.313
-2.074 2.780 1.758
N Ru Se
3 1 1
Direct
0.500 0.000 0.000
0.000 0.500 0.000
0.000 0.000 0.500
0.000 0.000 0.000
0.500 0.500 0.500
```



# 17
Compound: RuSeN
Source: Alexandria
Functional: PBE-GGA
Structure: optimized geometry

Output
As for the density of states at the Fermi level: 0.53 states/eV per atom. The energy comes out at -39.7 eV for the cell shown. The calculation puts the energy above the most stable polymorph in this dataset at 185 meV per atom.

POSCAR file:
```
RuSeN
1.0
6.537 0.000 0.018
0.000 3.082 0.000
-1.342 0.000 5.097
Se Ru N
2 2 2
Direct
0.586 0.500 0.484
0.586 0.000 0.984
0.261 0.500 0.045
0.261 0.000 0.545
0.132 0.500 0.341
0.132 0.000 0.841
```



# 18
Compound: RuSe2N
Source: Alexandria
Functional: PBE-GGA
Structure: optimized geometry

Output
As for the density of states at the Fermi level: 0.83 states/eV per atom. The energy comes out at -19.7 eV for the cell shown.

POSCAR file:
```
RuSe2N
1.0
-1.689 -7.459 -1.992
0.595 -7.881 -0.013
-2.257 -7.507 1.006
N Ru Se
1 1 2
Direct
0.500 0.500 0.500
0.000 0.000 0.000
0.898 0.898 0.898
0.102 0.102 0.102
```



# 19
Compound: RuSeN
Source: Alexandria
Functional: PBE-GGA
Structure: optimized geometry

Output
As for the density of states at the Fermi level: 0.53 states/eV per atom. The energy comes out at -20.4 eV for the cell shown. The calculation puts the energy above the most stable polymorph in this dataset at 0 meV per atom.

POSCAR file:
```
RuSeN
1.0
-2.520 -0.936 -1.612
-0.826 -3.024 -0.001
-4.371 -0.137 5.047
N Ru Se
1 1 1
Direct
0.369 0.005 0.477
0.049 0.706 0.377
0.757 0.476 0.072
```



# 20
Compound: RuSeN2
Source: Alexandria
Functional: PBE-GGA
Structure: optimized geometry

Output
As for the density of states at the Fermi level: 0.83 states/eV per atom. The energy comes out at -26.4 eV for the cell shown.

POSCAR file:
```
RuSeN2
1.0
1.736 0.000 6.345
-0.868 1.503 6.345
-0.868 -1.503 6.345
Ru Se N
1 1 2
Direct
0.500 0.500 0.500
0.000 0.000 0.000
0.892 0.892 0.892
0.108 0.108 0.108
```



# 21
Compound: RuSeN
Source: Alexandria
Functional: PBE-GGA
Structure: optimized geometry

Output
As for the density of states at the Fermi level: 0.40 states/eV per atom. The energy comes out at -19.9 eV for the cell shown. The calculation puts the energy above the most stable polymorph in this dataset at 159 meV per atom.

POSCAR file:
```
RuSeN
1.0
2.971 0.000 0.005
0.000 5.033 0.000
-1.460 0.000 3.175
Se Ru N
1 1 1
Direct
0.215 0.500 0.315
0.127 0.000 0.141
0.451 0.000 0.779
```



# 22
Compound: RuSeN2
Source: Alexandria
Functional: PBE-GGA
Structure: optimized geometry

Output
As for the density of states at the Fermi level: 0.27 states/eV per atom. The energy comes out at -51.0 eV for the cell shown.

POSCAR file:
```
RuSeN2
1.0
5.287 0.000 0.000
0.000 5.287 0.000
2.643 2.643 4.141
N Se Ru
4 2 2
Direct
0.375 0.295 0.750
0.045 0.625 0.250
0.875 0.955 0.750
0.705 0.125 0.250
0.250 0.750 0.500
0.500 0.500 0.000
0.000 0.000 0.000
0.750 0.250 0.500
```



# 23
Compound: RuSeN
Source: Alexandria
Functional: PBE-GGA
Structure: optimized geometry

Output
As for the density of states at the Fermi level: 1.16 states/eV per atom. The energy comes out at -19.3 eV for the cell shown. The calculation puts the energy above the most stable polymorph in this dataset at 363 meV per atom.

POSCAR file:
```
RuSeN
1.0
3.514 -0.004 -0.001
-1.762 3.668 -0.005
-1.730 -0.985 5.357
N Se Ru
1 1 1
Direct
0.819 0.450 0.940
0.834 0.966 0.446
0.645 0.399 0.635
```



# 24
Compound: RuSe3N
Source: Alexandria
Functional: PBE-GGA
Structure: optimized geometry

Output
As for the density of states at the Fermi level: 0.58 states/eV per atom. The energy comes out at -22.4 eV for the cell shown. The calculation puts the energy above the most stable polymorph in this dataset at 0 meV per atom.

POSCAR file:
```
RuSe3N
1.0
-4.107 0.710 1.022
-0.553 -4.198 0.696
1.115 0.534 4.109
Se N Ru
3 1 1
Direct
0.000 0.000 0.500
0.000 0.500 0.000
0.500 0.000 0.000
0.000 0.000 0.000
0.500 0.500 0.500
```



# 25
Compound: Ru3SeN
Source: Alexandria
Functional: PBE-GGA
Structure: optimized geometry

Output
As for the density of states at the Fermi level: 1.14 states/eV per atom. The energy comes out at -37.2 eV for the cell shown.

POSCAR file:
```
Ru3SeN
1.0
-1.502 -3.790 -0.195
3.759 -1.515 0.486
-0.524 -0.001 4.048
Ru N Se
3 1 1
Direct
0.500 0.000 0.000
0.000 0.500 0.000
0.000 0.000 0.500
0.000 0.000 0.000
0.500 0.500 0.500
```



# 26
Compound: RuSe2N
Source: Alexandria
Functional: PBE-GGA
Structure: optimized geometry

Output
As for the density of states at the Fermi level: 0.51 states/eV per atom. The energy comes out at -22.2 eV for the cell shown.

POSCAR file:
```
RuSe2N
1.0
3.438 3.531 3.965
3.758 -0.091 5.088
5.827 1.182 2.158
Ru N Se
1 1 2
Direct
0.500 0.500 0.500
0.000 0.000 0.000
0.902 0.902 0.902
0.098 0.098 0.098
```



# 27
Compound: RuSeN
Source: Alexandria
Functional: PBE-GGA
Structure: optimized geometry

Output
As for the density of states at the Fermi level: 0.57 states/eV per atom. The energy comes out at -20.1 eV for the cell shown. The calculation puts the energy above the most stable polymorph in this dataset at 113 meV per atom.

POSCAR file:
```
RuSeN
1.0
3.162 0.000 -0.001
0.000 3.620 0.000
-1.541 0.000 5.681
Se N Ru
1 1 1
Direct
0.146 0.500 0.069
0.860 0.000 0.507
0.283 0.000 0.350
```



# 28
Compound: SnRuSeN2
Source: Alexandria
Functional: PBE-GGA
Structure: optimized geometry

Output
As for the density of states at the Fermi level: 0.54 states/eV per atom. The energy comes out at -30.0 eV for the cell shown. The calculation puts the energy above the most stable polymorph in this dataset at 0 meV per atom.

POSCAR file:
```
SnRuSeN2
1.0
-3.173 -2.202 -0.806
2.204 -3.263 0.240
-1.078 -0.347 5.191
Se Sn N Ru
1 1 2 1
Direct
0.000 0.000 0.500
0.500 0.500 0.500
0.500 0.000 0.000
0.000 0.500 0.000
0.000 0.000 0.000
```



# 29
Compound: SnRuSeN2
Source: Alexandria
Functional: PBE-GGA
Structure: optimized geometry

Output
As for the density of states at the Fermi level: 0.81 states/eV per atom. The energy comes out at -25.0 eV for the cell shown. The calculation puts the energy above the most stable polymorph in this dataset at 1005 meV per atom.

POSCAR file:
```
SnRuSeN2
1.0
-2.682 -1.021 2.830
-1.180 -3.130 -2.248
3.878 -3.258 2.500
Se Ru Sn N
1 1 1 2
Direct
0.000 0.000 0.500
0.500 0.500 0.500
0.000 0.000 0.000
0.500 0.000 0.000
0.000 0.500 0.000
```